Crystalline Pm2Nd3HoSe6 at its relaxed geometry, computed with PBE.

formation energy from raw total energies	-175.7	kJ per mole of atoms
crystal system	monoclinic

a = 7.253 Å, b = 7.253 Å, c = 7.281 Å
α = 99.52°, β = 99.52°, γ = 120.24°
Fractional coordinates of all 12 atoms:
Pm 0.167 0.833 0.000
Pm 0.833 0.167 0.000
Nd 0.000 0.000 0.500
Nd 0.328 0.672 0.500
Nd 0.672 0.328 0.500
Ho 0.500 0.500 0.000
Se 0.095 0.420 0.759
Se 0.257 0.257 0.245
Se 0.420 0.095 0.759
Se 0.580 0.905 0.241
Se 0.743 0.743 0.755
Se 0.905 0.580 0.241

=====

Crystalline LiSbTe2Pd at its relaxed geometry, computed with PBE.

formation energy from raw total energies	4.4	kJ per mole of atoms
crystal system	tetragonal
energy above the lowest structure with this stoichiometry	0.000	eV/atom

a = 5.537 Å, b = 5.537 Å, c = 5.045 Å
α = 90.00°, β = 90.00°, γ = 90.00°
Fractional coordinates of all 5 atoms:
Li 0.000 0.000 0.000
Sb 0.500 0.500 0.000
Te 0.000 0.500 0.500
Te 0.500 0.000 0.500
Pd 0.500 0.500 0.500

=====

Crystalline La2Ge2Te5 at its relaxed geometry, computed with PBE.

formation energy from raw total energies	-74.2	kJ per mole of atoms
crystal system	orthorhombic

a = 11.294 Å, b = 11.294 Å, c = 11.294 Å
α = 60.56°, β = 138.40°, γ = 138.06°
Fractional coordinates of all 18 atoms:
La 0.033 0.101 0.134
La 0.033 0.399 0.432
La 0.967 0.601 0.568
La 0.967 0.899 0.866
Ge 0.455 0.455 0.000
Ge 0.455 0.955 0.500
Ge 0.529 0.819 0.210
Ge 0.610 0.319 0.790
Te 0.091 0.709 0.882
Te 0.268 0.025 0.538
Te 0.268 0.230 0.743
Te 0.487 0.525 0.257
Te 0.487 0.730 0.462
Te 0.491 0.199 0.241
Te 0.491 0.750 0.793
Te 0.827 0.209 0.118
Te 0.958 0.250 0.759
Te 0.958 0.699 0.207

=====

Crystalline MgPb3 at its relaxed geometry, computed with PBE.

crystal system	orthorhombic
ΔH_f (0 K)	0.00	eV per atom

a = 5.989 Å, b = 5.989 Å, c = 3.530 Å
α = 90.00°, β = 90.00°, γ = 111.74°
Fractional coordinates of all 4 atoms:
Mg 0.000 0.000 0.000
Pb 0.000 0.500 0.500
Pb 0.500 0.000 0.500
Pb 0.500 0.500 0.000

=====

Crystalline Cs2CaH2F2 at its relaxed geometry, computed with PBE.

crystal system	tetragonal
final energy	-0.140	hartree per atom

a = 8.216 Å, b = 8.216 Å, c = 8.216 Å
α = 147.76°, β = 147.76°, γ = 46.25°
Fractional coordinates of all 7 atoms:
Cs 0.150 0.150 0.000
Cs 0.850 0.850 0.000
Ca 0.500 0.500 0.000
H 0.000 0.500 0.500
H 0.500 0.000 0.500
F 0.350 0.350 0.000
F 0.650 0.650 0.000

=====

Crystalline PrHo3Er2Tm6 at its relaxed geometry, computed with PBE.

crystal system	monoclinic
ΔH_f (0 K)	0.02	eV per atom

a = 6.089 Å, b = 6.089 Å, c = 11.651 Å
α = 94.99°, β = 94.99°, γ = 119.95°
Fractional coordinates of all 12 atoms:
Pr 0.000 0.000 0.000
Ho 0.167 0.833 0.500
Ho 0.500 0.500 0.500
Ho 0.833 0.167 0.500
Er 0.333 0.667 0.000
Er 0.667 0.333 0.000
Tm 0.084 0.418 0.252
Tm 0.250 0.250 0.749
Tm 0.418 0.084 0.252
Tm 0.582 0.916 0.748
Tm 0.750 0.750 0.251
Tm 0.916 0.582 0.748

=====

Crystalline PmSm2Tl at its relaxed geometry, computed with PBE.

crystal system	tetragonal
ΔH_f (0 K)	-0.17	eV per atom
energy above the lowest structure with this stoichiometry	0.032	eV/atom

a = 3.678 Å, b = 3.678 Å, c = 9.373 Å
α = 90.00°, β = 90.00°, γ = 90.00°
Fractional coordinates of all 4 atoms:
Pm 0.000 0.000 0.000
Sm 0.500 0.500 0.274
Sm 0.500 0.500 0.726
Tl 0.000 0.000 0.500

=====

Crystalline SmAlZnCu2 at its relaxed geometry, computed with PBE.

crystal system	tetragonal
ΔH_f (0 K)	-0.32	eV per atom

a = 6.201 Å, b = 6.201 Å, c = 6.201 Å
α = 142.22°, β = 142.22°, γ = 54.49°
Fractional coordinates of all 5 atoms:
Sm 0.000 0.000 0.000
Al 0.750 0.250 0.500
Zn 0.250 0.750 0.500
Cu 0.389 0.389 0.000
Cu 0.611 0.611 0.000

=====

Copy entry 7 word for word.
Crystalline PmSm2Tl at its relaxed geometry, computed with PBE.

crystal system	tetragonal
ΔH_f (0 K)	-0.17	eV per atom
energy above the lowest structure with this stoichiometry	0.032	eV/atom

a = 3.678 Å, b = 3.678 Å, c = 9.373 Å
α = 90.00°, β = 90.00°, γ = 90.00°
Fractional coordinates of all 4 atoms:
Pm 0.000 0.000 0.000
Sm 0.500 0.500 0.274
Sm 0.500 0.500 0.726
Tl 0.000 0.000 0.500